[1]
Entry from Alexandria: crystalline PCl2 at its relaxed geometry (PBE).

Structure (extended XYZ):
```
6
Lattice="7.1681 -3.8113 0.0000 7.1681 3.8113 0.0000 0.0000 0.0000 3.2888" Properties=species:S:1:pos:R:3 pbc="T T T"
P 7.1681 2.5794 2.4666
P 7.1681 -2.5794 0.8222
Cl 5.4921 2.0495 0.8222
Cl 8.8441 2.0495 0.8222
Cl 5.4921 -2.0495 2.4666
Cl 8.8441 -2.0495 2.4666
```

For the formation energy from raw total energies, the calculation gives -0.076 eV per atom. As for the space group: Cmcm, No. 63. As for the volume: 89.9 Å³/f.u. The value obtained for the calculated total energy is -18.66 eV per cell.


[2]
Entry from Alexandria: crystalline PmSnHgBr6 at its relaxed geometry (PBE).

Structure (extended XYZ):
```
9
Lattice="7.3575 0.0000 0.0000 -3.6788 6.3718 0.0000 0.0000 0.0000 8.2480" Properties=species:S:1:pos:R:3 pbc="T T T"
Pm 0.0000 0.0000 0.0000
Sn 0.0000 4.2479 0.0000
Hg 3.6788 2.1239 4.1240
Br -1.0244 2.1586 6.5995
Br -2.3216 4.4053 1.6485
Br 1.0244 2.1586 1.6485
Br -1.2971 6.1797 6.5995
Br 2.3216 4.4053 6.5995
Br 1.2971 6.1797 1.6485
```

For the formation energy from raw total energies, the calculation gives -1.082 eV per atom. As for the space group: P312, No. 149. As for the volume: 386.8 Å³/f.u. The value obtained for the calculated total energy is -28.83 eV per cell.


[3]
Entry from Alexandria: crystalline Li2AlZn2Ag5 at its relaxed geometry (PBE).

Structure (extended XYZ):
```
20
Lattice="9.3671 0.0000 0.0000 0.0000 9.3671 0.0000 0.0000 0.0000 4.0314" Properties=species:S:1:pos:R:3 pbc="T T T"
Li 1.5951 3.0885 0.0000
Li 3.0885 7.7720 0.0000
Li 6.2786 1.5951 0.0000
Li 7.7720 6.2786 0.0000
Al 0.0000 0.0000 0.0000
Al 4.6835 4.6835 0.0000
Zn 1.1790 5.8626 0.0000
Zn 3.5045 1.1790 0.0000
Zn 5.8626 8.1880 0.0000
Zn 8.1880 3.5045 0.0000
Ag 0.0000 4.6835 2.0157
Ag 0.7907 7.5479 2.0157
Ag 1.8192 0.7907 2.0157
Ag 2.8643 5.4742 2.0157
Ag 3.8929 2.8643 2.0157
Ag 4.6835 0.0000 2.0157
Ag 5.4742 6.5027 2.0157
Ag 6.5027 3.8929 2.0157
Ag 7.5479 8.5764 2.0157
Ag 8.5764 1.8192 2.0157
```

As for the space group: P4/mbm, No. 127. As for the volume: 176.9 Å³/f.u. The value obtained for the calculated total energy is -50.23 eV per cell.


[4]
Entry from Alexandria: crystalline Y2Er3Sc at its relaxed geometry (PBE).

Structure (extended XYZ):
```
12
Lattice="3.0367 1.7532 11.2762 -3.0367 1.7532 11.2762 0.0000 -3.5064 11.2762" Properties=species:S:1:pos:R:3 pbc="T T T"
Y 0.0000 0.0000 5.6514
Y 0.0000 0.0000 11.2629
Y 0.0000 0.0000 22.5657
Y 0.0000 0.0000 28.1772
Er -2.0098 0.0254 14.0952
Er -1.0269 -1.7278 19.7333
Er 0.9829 -1.7532 14.0952
Er -0.9829 1.7532 19.7333
Er 1.0269 1.7278 14.0952
Er 2.0098 -0.0254 19.7333
Sc 0.0000 0.0000 0.0000
Sc 0.0000 0.0000 16.9143
```

Its energy above the lowest structure with this stoichiometry is 0.0 meV per atom. As for the space group: R-3c, No. 167. As for the volume: 180.1 Å³/f.u. The value obtained for the calculated total energy is -65.66 eV per cell.


[5]
Entry from Alexandria: crystalline CaLa2Mg at its relaxed geometry (PBE).

Structure (extended XYZ):
```
4
Lattice="1.8412 1.0630 12.1176 -1.8412 1.0630 12.1176 0.0000 -2.1260 12.1176" Properties=species:S:1:pos:R:3 pbc="T T T"
Ca 0.0000 0.0000 0.0000
La 0.0000 0.0000 8.7931
La 0.0000 0.0000 27.5597
Mg 0.0000 0.0000 18.1764
```

As for the space group: R-3m, No. 166. As for the volume: 142.3 Å³/f.u. The value obtained for the calculated total energy is -13.21 eV per cell.


[6]
Entry from Alexandria: crystalline LaAg2HPb at its relaxed geometry (PBE).

Structure (extended XYZ):
```
5
Lattice="4.7972 0.0000 0.0000 0.0000 4.7972 0.0000 0.0000 0.0000 4.5833" Properties=species:S:1:pos:R:3 pbc="T T T"
La 0.0000 0.0000 0.0000
Ag 0.0000 2.3986 2.2917
Ag 2.3986 0.0000 2.2917
H 0.0000 0.0000 2.2917
Pb 2.3986 2.3986 0.0000
```

As for the space group: P4/mmm, No. 123. As for the volume: 105.5 Å³/f.u. The value obtained for the calculated total energy is -18.56 eV per cell.


[7]
Entry from Alexandria: crystalline Ac2MgZn2Rh5 at its relaxed geometry (PBE).

Structure (extended XYZ):
```
20
Lattice="10.0557 0.0000 0.0000 0.0000 10.0557 0.0000 0.0000 0.0000 3.7288" Properties=species:S:1:pos:R:3 pbc="T T T"
Ac 1.7899 3.2379 0.0000
Ac 3.2379 8.2658 0.0000
Ac 6.8177 1.7899 0.0000
Ac 8.2658 6.8177 0.0000
Mg 0.0000 0.0000 0.0000
Mg 5.0278 5.0278 0.0000
Zn 1.2041 6.2319 0.0000
Zn 3.8237 1.2041 0.0000
Zn 6.2319 8.8515 0.0000
Zn 8.8515 3.8237 0.0000
Rh 0.0000 5.0278 1.8644
Rh 0.6535 7.9663 1.8644
Rh 2.0894 0.6535 1.8644
Rh 2.9384 5.6814 1.8644
Rh 4.3743 2.9384 1.8644
Rh 5.0278 0.0000 1.8644
Rh 5.6814 7.1172 1.8644
Rh 7.1172 4.3743 1.8644
Rh 7.9663 9.4021 1.8644
Rh 9.4021 2.0894 1.8644
```

As for the space group: P4/mbm, No. 127. As for the volume: 188.5 Å³/f.u. The value obtained for the calculated total energy is -107.60 eV per cell.


[8]
Entry from Alexandria: crystalline KBaCa at its relaxed geometry (PBE).

Structure (extended XYZ):
```
3
Lattice="0.0000 4.7929 4.7929 4.7929 0.0000 4.7929 4.7929 4.7929 0.0000" Properties=species:S:1:pos:R:3 pbc="T T T"
K 0.0000 0.0000 0.0000
Ba 4.7929 4.7929 4.7929
Ca 2.3965 2.3965 2.3965
```

Its energy above the lowest structure with this stoichiometry is 339.3 meV per atom. As for the space group: F-43m, No. 216. As for the volume: 220.2 Å³/f.u. The value obtained for the calculated total energy is -3.76 eV per cell.